No. 1
LiDy4Co2: optimized geometry, GGA-PBE.

Cell and atoms, written as POSCAR:
```
LiDy4Co2
1.0
9.821 -1.148 0.858
-2.038 7.905 -1.140
-2.896 -4.343 4.620
Li Dy Co
2 8 4
Direct
0.072 0.543 0.488
0.163 0.340 0.113
0.434 0.071 0.198
0.302 0.379 0.611
0.543 0.550 0.283
0.916 0.688 0.796
0.962 0.881 0.452
0.817 0.259 0.806
0.376 0.954 0.574
0.747 0.005 0.139
0.640 0.485 0.848
0.456 0.765 0.187
0.714 0.362 0.184
0.107 0.468 0.821
```

***

No. 2
LiDy3Co8: optimized geometry, GGA-PBE.

Cell and atoms, written as POSCAR:
```
LiDy3Co8
1.0
-0.616 -1.706 4.664
3.373 1.094 3.531
-3.265 6.529 4.642
Co Dy Li
8 3 1
Direct
0.188 0.188 0.435
0.437 0.437 0.190
0.687 0.687 0.938
0.440 0.938 0.683
0.937 0.437 0.190
0.938 0.938 0.683
0.437 0.937 0.190
0.938 0.440 0.683
0.993 0.993 0.021
0.376 0.376 0.871
0.505 0.505 0.484
0.872 0.872 0.383
```

***

No. 3
LiDy2Co: optimized geometry, GGA-PBE.

Cell and atoms, written as POSCAR:
```
LiDy2Co
1.0
3.720 0.000 0.000
1.860 3.222 0.000
1.860 1.074 9.766
Li Dy Co
1 2 1
Direct
0.000 0.000 0.000
0.885 0.885 0.346
0.115 0.115 0.654
0.500 0.500 0.500
```

***

No. 4
LiDyLuCo: optimized geometry, GGA-PBE.

Cell and atoms, written as POSCAR:
```
LiDyLuCo
1.0
4.802 0.000 0.000
2.401 4.158 0.000
2.401 1.386 3.921
Co Li Dy Lu
1 1 1 1
Direct
0.500 0.500 0.500
0.000 0.000 0.000
0.750 0.750 0.750
0.250 0.250 0.250
```

***

No. 5
LiDyMnCo: optimized geometry, GGA-PBE.

Cell and atoms, written as POSCAR:
```
LiDyMnCo
1.0
4.509 0.000 0.000
2.255 3.905 0.000
2.255 1.302 3.682
Co Dy Mn Li
1 1 1 1
Direct
0.500 0.500 0.500
0.750 0.750 0.750
0.250 0.250 0.250
0.000 0.000 0.000
```

***

No. 6
LiNdDyCo: optimized geometry, GGA-PBE.

Cell and atoms, written as POSCAR:
```
LiNdDyCo
1.0
4.948 0.000 0.000
2.474 4.285 0.000
2.474 1.428 4.040
Dy Li Nd Co
1 1 1 1
Direct
0.250 0.250 0.250
0.500 0.500 0.500
0.750 0.750 0.750
0.000 0.000 0.000
```

***

Number 1: E -0.18301 hartree per atom, M_tot 0.000 Bohr magnetons per cell. Number 2: E -0.22739 hartree per atom, M_tot 9.189 Bohr magnetons per cell. Number 3: E -0.16417 hartree per atom, M_tot 0.000 Bohr magnetons per cell. Number 4: E -0.17062 hartree per atom, M_tot 0.000 Bohr magnetons per cell. Number 5: E -0.20584 hartree per atom, M_tot 3.962 Bohr magnetons per cell. Number 6: E -0.16938 hartree per atom, M_tot 0.000 Bohr magnetons per cell.